1.
## K2ZrIn (PBEsol)

Data for a relaxed K2ZrIn crystal.

Values from the calculation:
The value obtained for the formation energy is 0.524 eV per atom. Its calculated total energy is -3.06 eV/atom.

abc: 4.3990 4.3990 6.1585
angles: 90.00 90.00 90.00
Site moments in Bohr magnetons follow the coordinates.
Positions (direct):
Zr1 0.5000 0.5000 0.5000  0.46
In1 0.0000 0.0000 0.5000  0.00
K1 0.0000 0.5000 0.0000  0.02
K2 0.5000 0.0000 0.0000  0.02

2.
## KZr2In2 (PBEsol)

Data for a relaxed KZr2In2 crystal.

Values from the calculation:
The value obtained for the formation energy is 0.500 eV per atom. Its calculated total energy is -4.56 eV/atom.

abc: 5.3549 5.3549 6.5043
angles: 114.31 114.31 90.00
Site moments in Bohr magnetons follow the coordinates.
Positions (direct):
In1 0.7500 0.2500 0.5000  0.00
In2 0.2500 0.7500 0.5000  0.00
K1 0.0000 0.0000 0.0000  0.00
Zr1 0.3443 0.3443 0.6886  0.24
Zr2 0.6557 0.6557 0.3114  0.24

3.
## K2ZrIn (PBEsol)

Data for a relaxed K2ZrIn crystal.

Values from the calculation:
The value obtained for the formation energy is 0.602 eV per atom. Its calculated total energy is -2.98 eV/atom.

abc: 3.1242 3.1242 12.7505
angles: 90.00 90.00 90.00
Positions (direct):
Zr1 0.5000 0.5000 0.0000
K1 0.0000 0.0000 0.7355
K2 0.0000 0.0000 0.2645
In1 0.5000 0.5000 0.5000

4.
## K2ZrIn (PBEsol)

Data for a relaxed K2ZrIn crystal.

Values from the calculation:
The value obtained for the formation energy is 0.549 eV per atom. Its calculated total energy is -3.04 eV/atom.

abc: 3.2900 3.2900 13.1686
angles: 82.82 82.82 60.00
Positions (direct):
K1 0.2527 0.2527 0.2419
K2 0.7473 0.7473 0.7581
In1 0.0000 0.0000 0.0000
Zr1 0.5000 0.5000 0.5000

5.
## KZr2In (PBEsol)

Data for a relaxed KZr2In crystal.

Values from the calculation:
The value obtained for the formation energy is 0.113 eV per atom. Its calculated total energy is -5.46 eV/atom.

abc: 3.1121 3.1121 10.8507
angles: 90.00 90.00 90.15
Positions (direct):
K1 0.5000 0.5000 0.2690
In1 0.0000 0.0000 0.5311
Zr1 0.0000 0.0000 0.9491
Zr2 0.5000 0.5000 0.7508

6.
## K2ZrIn (PBEsol)

Data for a relaxed K2ZrIn crystal.

Values from the calculation:
The value obtained for the formation energy is 0.325 eV per atom. Its calculated total energy is -3.26 eV/atom.

abc: 3.9470 3.9470 10.3401
angles: 90.00 90.00 90.00
Site moments in Bohr magnetons follow the coordinates.
Positions (direct):
K1 0.5000 0.5000 0.3121  0.01
K2 0.0000 0.0000 0.9293  0.01
Zr1 0.0000 0.0000 0.5920  0.35
In1 0.5000 0.5000 0.6666  0.01

7.
## La3In5 (PBEsol)

Data for a relaxed La3In5 crystal.

Values from the calculation:
The value obtained for the formation energy is -0.574 eV per atom. Its calculated total energy is -4.44 eV/atom.

abc: 6.6233 6.6233 10.4729
angles: 90.00 90.00 101.86
Positions (direct):
La1 0.3723 0.3723 0.7500
La2 0.7940 0.2060 0.0000
La3 0.7940 0.2060 0.5000
La4 0.2060 0.7940 0.0000
La5 0.6277 0.6277 0.2500
La6 0.2060 0.7940 0.5000
In1 0.0733 0.4947 0.2500
In2 0.0104 0.0104 0.2500
In3 0.6969 0.6969 0.5524
In4 0.3031 0.3031 0.0524
In5 0.6969 0.6969 0.9476
In6 0.9267 0.5053 0.7500
In7 0.4947 0.0733 0.2500
In8 0.5053 0.9267 0.7500
In9 0.9896 0.9896 0.7500
In10 0.3031 0.3031 0.4476

8.
## La2In (PBEsol)

Data for a relaxed La2In crystal.

Values from the calculation:
The value obtained for the formation energy is -0.344 eV per atom. Its calculated total energy is -4.90 eV/atom.

abc: 4.5509 8.5568 8.5568
angles: 120.00 90.00 90.00
Positions (direct):
La1 0.0000 0.2712 0.0000
La2 0.5000 0.5926 0.0000
La3 0.0000 0.0000 0.2712
La4 0.0000 0.7288 0.7288
La5 0.5000 0.0000 0.5926
La6 0.5000 0.4074 0.4074
In1 0.0000 0.3333 0.6667
In2 0.5000 0.0000 0.0000
In3 0.0000 0.6667 0.3333